(1)
A plane-wave DFT calculation with PBE was carried out for a geometry-optimized NbS2Br structure.

abc: 6.7195 6.7195 6.9203
angles: 60.96 60.96 90.00
Closest atoms and distances in Å follow each position.
Positions (direct):
Nb: 0.0000 0.0000 0.0000  4 S 2.32
Nb: 0.7500 0.2500 0.5000  4 S 2.32
S: 0.7280 0.1250 0.2500  2 Nb 2.32
S: 0.0220 0.6250 0.2500  2 Nb 2.32
S: 0.3750 0.2720 0.7500  2 Nb 2.32
S: 0.8750 0.9780 0.7500  2 Nb 2.32
Br: 0.5000 0.5000 0.0000  4 S 3.17
Br: 0.2500 0.7500 0.5000  4 S 3.17

space group: No. 122
uncorrected formation energy: -0.3341 eV/atom
polymorph energy (0 for the lowest one): 328.8 meV per atom
V: 227 Å³ per cell



(2)
A plane-wave DFT calculation with PBE was carried out for a geometry-optimized NbS2Br structure.

abc: 5.0976 7.1072 7.3194
angles: 81.11 69.62 63.65
Closest atoms and distances in Å follow each position.
Positions (direct):
Nb: 0.2784 0.2500 0.4432  4 S 2.37-2.39
Nb: 0.7216 0.7500 0.5568  4 S 2.37-2.39
S: 0.1838 0.5901 0.2979  2 Nb 2.37-2.39
S: 0.5183 0.9099 0.2979  2 Nb 2.37-2.39
S: 0.8162 0.4099 0.7021  2 Nb 2.37-2.39
S: 0.4817 0.0901 0.7021  2 Nb 2.37-2.39
Br: 0.8742 0.2500 0.2515  2 Nb 2.87, 2 S 3.20
Br: 0.1258 0.7500 0.7485  2 Nb 2.87, 2 S 3.20

space group: No. 15
uncorrected formation energy: -0.6629 eV/atom
polymorph energy (0 for the lowest one): 0.0 meV per atom
V: 223 Å³ per cell



(3)
A plane-wave DFT calculation with PBE was carried out for a geometry-optimized Nb4SBr2 structure.

abc: 4.6552 4.6552 7.3207
angles: 71.46 71.46 90.00
Closest atoms and distances in Å follow each position.
Positions (direct):
Nb: 0.8093 0.8093 0.3814  1 S 2.49, 1 Br 2.51
Nb: 0.1907 0.1907 0.6186  1 S 2.49, 1 Br 2.51
Nb: 0.0000 0.5000 0.0000  2 S 2.33
Nb: 0.5000 0.0000 0.0000  2 S 2.33
S: 0.0000 0.0000 0.0000  6 Nb 2.33-2.49
Br: 0.6177 0.6177 0.7647  5 Nb 2.51-2.79
Br: 0.3823 0.3823 0.2353  5 Nb 2.51-2.79

space group: No. 139
uncorrected formation energy: 0.6139 eV/atom
V: 142 Å³ per cell